[1]
Ta5Os (PBEsol, optimized geometry); energy above the lowest structure with this stoichiometry = 5.4 kJ/mol of formula units; energy = -76.20 eV per cell; space-group type = No. 65; total moment = 0.00 μB per formula unit; energy of formation from the pure elements = -118 kJ/mol of formula units
1.0
1.603 -6.836 0.000
1.603 6.836 0.000
0.000 0.000 4.604
Ta Os
5 1
Direct
0.000 0.000 0.000 Ta
0.162 0.838 0.500 Ta
0.333 0.667 0.000 Ta
0.667 0.333 0.000 Ta
0.838 0.162 0.500 Ta
0.500 0.500 0.500 Os

[2]
DyTi2Ga4 (PBEsol, optimized geometry); energy = -39.12 eV per cell; space-group type = No. 139; total moment = 0.00 μB per formula unit; energy of formation from the pure elements = -399 kJ/mol of formula units
1.0
-3.333 3.333 2.685
3.333 -3.333 2.685
3.333 3.333 -2.685
Dy Ti Ga
1 2 4
Direct
0.000 0.000 0.000 Dy
0.250 0.750 0.500 Ti
0.750 0.250 0.500 Ti
0.303 0.303 0.606 Ga
0.303 0.697 0.000 Ga
0.697 0.303 0.000 Ga
0.697 0.697 0.394 Ga

[3]
MgTl2In (PBEsol, optimized geometry); energy = -9.95 eV per cell; space-group type = No. 12; total moment = 0.00 μB per formula unit; energy of formation from the pure elements = 1 kJ/mol of formula units
1.0
3.254 -5.163 0.000
3.254 5.163 0.000
-1.344 0.000 3.099
Mg Tl In
1 2 1
Direct
0.000 0.000 0.000 Mg
0.000 0.500 0.500 Tl
0.500 0.000 0.500 Tl
0.500 0.500 0.000 In

[4]
Ca2YPb (PBEsol, optimized geometry); energy = -16.09 eV per cell; space-group type = No. 25; total moment = 0.00 μB per formula unit; energy of formation from the pure elements = -97 kJ/mol of formula units
1.0
3.774 0.000 0.000
0.000 4.544 0.000
0.000 0.000 7.254
Ca Y Pb
2 1 1
Direct
0.000 0.000 0.000 Ca
0.500 0.500 0.284 Ca
0.500 0.500 0.737 Y
0.000 0.000 0.526 Pb

[5]
KCr3Sn (PBEsol, optimized geometry); energy = -29.43 eV per cell; space-group type = No. 221; total moment = 14.35 μB per formula unit; energy of formation from the pure elements = 646 kJ/mol of formula units
1.0
5.305 0.000 0.000
0.000 5.305 0.000
0.000 0.000 5.305
K Cr Sn
1 3 1
Direct
0.000 0.000 0.000 K
0.000 0.500 0.500 Cr
0.500 0.000 0.500 Cr
0.500 0.500 0.000 Cr
0.500 0.500 0.500 Sn

[6]
CuSiAg2 (PBEsol, optimized geometry); energy = -16.02 eV per cell; E_form (uncorrected) = 172 meV per atom; space-group type = No. 10; total moment = 0.00 μB per formula unit
1.0
2.759 0.000 0.000
0.000 4.445 0.000
-0.245 0.000 4.847
Cu Si Ag
1 1 2
Direct
0.000 0.000 0.000 Cu
0.500 0.000 0.500 Si
0.272 0.500 0.750 Ag
0.728 0.500 0.250 Ag

Which value of total moment does entry 1 give?
0.00 μB per formula unit